# 1
Here is an optimized crystal structure of CrTcSb2 from the Alexandria database. Energies are from PBE.

Computed properties:
SG	I-4m2 (119)
distance to the lowest polymorph of the same formula	0.325	eV/atom
ΔE_f (raw)	44	kJ/mol of atoms

Cell lengths 5.6390, 5.6390, 5.6390 Å; angles 139.20, 139.20, 59.08 degrees
Site moments in Bohr magnetons follow the coordinates.
Element x y z (fractional)
Sb1 0.2500 0.7500 0.5000  -0.05
Sb2 0.0000 0.0000 0.0000  -0.04
Tc1 0.5000 0.5000 0.0000  -1.13
Cr1 0.7500 0.2500 0.5000  3.08


# 2
Here is an optimized crystal structure of BeCdSn from the Alexandria database. Energies are from PBE.

Computed properties:
energy of formation	0.247	eV per atom
SG	P1 (1)

Cell lengths 3.8910, 4.9287, 7.2958 Å; angles 118.44, 100.72, 90.47 degrees
Element x y z (fractional)
Sn1 0.1960 0.8672 0.8817
Sn2 0.3817 0.5097 0.3988
Cd1 0.6519 0.2198 0.6929
Cd2 0.8283 0.9046 0.2490
Be1 0.7705 0.2968 0.0885
Be2 0.2473 0.4588 0.0151


# 3
Here is an optimized crystal structure of KTc2Sb from the Alexandria database. Energies are from PBE.

Computed properties:
SG	Immm (71)
ΔE_f (raw)	100	kJ/mol of atoms

Cell lengths 6.0002, 6.0002, 6.0002 Å; angles 150.97, 127.30, 61.29 degrees
Element x y z (fractional)
Sb1 0.7500 0.2500 0.5000
Tc1 0.5378 0.5378 0.0000
Tc2 0.9622 0.9622 0.0000
K1 0.2500 0.7500 0.5000


# 4
Here is an optimized crystal structure of Ta2V2Ru from the Alexandria database. Energies are from PBE.

Computed properties:
energy of formation	0.050	eV per atom
SG	Cmmm (65)

Cell lengths 3.0830, 3.2848, 7.9782 Å; angles 78.12, 90.00, 90.00 degrees
Element x y z (fractional)
Ta1 0.5000 0.6046 0.7907
Ta2 0.5000 0.3954 0.2093
Ru1 0.0000 0.0000 0.0000
V1 0.0000 0.1980 0.6040
V2 0.0000 0.8020 0.3960


no.,volume (Å³/cell),total energy (hartree per atom)
1,75.8,-0.2428
2,120.1,-0.0968
3,82.7,-0.2005
4,79.1,-0.3746